No. 1
A geometry-optimized V3GeC structure. Source: the Alexandria database, functional PBEsol.

Cell: 3.0283 5.1815 7.7996 Å, 90.00 90.00 106.99°
Closest atoms and distances in Å follow each position.
Element x y z (fractional)
V: 0.0413 0.0826 0.2500  2 C 1.99
V: 0.9587 0.9174 0.7500  2 C 1.99
V: 0.3704 0.7408 0.0465  2 C 2.02
V: 0.6296 0.2592 0.9535  2 C 2.02
V: 0.3704 0.7408 0.4535  2 C 2.02
V: 0.6296 0.2592 0.5465  2 C 2.02
Ge: 0.7451 0.4901 0.2500  8 V 2.52-2.58
Ge: 0.2549 0.5099 0.7500  8 V 2.52-2.58
C: 0.0000 0.0000 0.0000  6 V 1.99-2.02
C: 0.0000 0.0000 0.5000  6 V 1.99-2.02

Summary:
Space-group type = Cmcm
Energy = -92.463 eV/cell
Calculated volume = 11.7 A^3/atom

***

No. 2
A geometry-optimized ZrGeC2 structure. Source: the Alexandria database, functional PBEsol.

Cell: 5.4187 5.4187 5.1572 Å, 121.69 121.69 90.00°
Closest atoms and distances in Å follow each position.
Element x y z (fractional)
Ge: 0.7500 0.2500 0.5000  4 C 1.97
Ge: 0.5000 0.5000 0.0000  4 C 1.97
C: 0.4144 0.8750 0.2500  2 Ge 1.97
C: 0.8356 0.3750 0.2500  2 Ge 1.97
C: 0.1250 0.1644 0.7500  2 Ge 1.97
C: 0.6250 0.5856 0.7500  2 Ge 1.97
Zr: 0.2500 0.7500 0.5000  4 C 2.24
Zr: 0.0000 0.0000 0.0000  4 C 2.24

Summary:
Space-group type = I-42d
Energy = -64.366 eV/cell
Calculated volume = 12.7 A^3/atom

***

No. 3
A geometry-optimized HfPHC2 structure. Source: the Alexandria database, functional PBEsol.

Cell: 4.2557 4.2557 4.9548 Å, 90.00 90.00 90.00°
Closest atoms and distances in Å follow each position.
Element x y z (fractional)
P: 0.0000 0.0000 0.5000  2 Hf 2.48
C: 0.0000 0.5000 0.0000  2 Hf 2.13
C: 0.5000 0.0000 0.0000  2 Hf 2.13
Hf: 0.0000 0.0000 0.0000  4 C 2.13
H: 0.5000 0.5000 0.5000  4 P 3.01, 8 C 3.27

Summary:
Space-group type = P4/mmm
Energy = -28.287 eV/cell
Calculated volume = 17.9 A^3/atom

***

No. 4
A geometry-optimized HgH10C3I3N structure. Source: the Alexandria database, functional PBEsol.

Cell: 8.7001 9.0076 15.3742 Å, 90.00 90.00 92.93°
Closest atoms and distances in Å follow each position.
Element x y z (fractional)
I: 0.6796 0.8155 0.4551  1 Hg 2.75, 2 H 2.95-3.01
I: 0.4511 0.5471 0.2349  2 Hg 2.90-2.91, 2 H 3.09-3.13
I: 0.2423 0.9744 0.3390  1 Hg 2.72, 1 H 2.75
I: 0.9511 0.5471 0.2651  2 Hg 2.90-2.91, 2 H 3.09-3.13
I: 0.7423 0.9744 0.1610  1 Hg 2.72, 1 H 2.75
I: 0.0489 0.4529 0.7349  2 Hg 2.90-2.91, 2 H 3.09-3.13
I: 0.7577 0.0256 0.6610  1 Hg 2.72, 1 H 2.75
I: 0.5489 0.4529 0.7651  2 Hg 2.90-2.91, 2 H 3.09-3.13
I: 0.1796 0.8155 0.0449  1 Hg 2.75, 2 H 2.95-3.01
I: 0.8204 0.1845 0.9551  1 Hg 2.75, 2 H 2.95-3.01
I: 0.2577 0.0256 0.8390  1 Hg 2.72, 1 H 2.75
I: 0.3204 0.1845 0.5449  1 Hg 2.75, 2 H 2.95-3.01
H: 0.9059 0.0876 0.3994  1 C 1.10
H: 0.9760 0.1852 0.4949  1 C 1.10
H: 0.5438 0.7157 0.8936  1 C 1.10
H: 0.9562 0.2843 0.3936  1 C 1.10
H: 0.4562 0.2843 0.1064  1 C 1.10
H: 0.1246 0.3827 0.9708  1 C 1.10
H: 0.5941 0.9124 0.8994  1 C 1.10
H: 0.0240 0.8148 0.5051  1 C 1.10
H: 0.7948 0.8584 0.9988  1 N 1.05
H: 0.0438 0.7157 0.6064  1 C 1.10
H: 0.5317 0.2551 0.3991  1 C 1.10
H: 0.5240 0.8148 0.9949  1 C 1.10
H: 0.2844 0.4607 0.0340  1 C 1.10
H: 0.0941 0.9124 0.6006  1 C 1.10
H: 0.4059 0.0876 0.1006  1 C 1.10
H: 0.2052 0.1416 0.0012  1 N 1.05
H: 0.6499 0.1230 0.3465  1 C 1.10
H: 0.3501 0.8770 0.6535  1 C 1.10
H: 0.1811 0.6396 0.4344  1 C 1.10
H: 0.3024 0.6802 0.6638  1 C 1.10
H: 0.1976 0.3198 0.1638  1 C 1.10
H: 0.2156 0.5393 0.5340  1 C 1.10
H: 0.1499 0.1230 0.1535  1 C 1.10
H: 0.8501 0.8770 0.8465  1 C 1.10
H: 0.9683 0.7449 0.8991  1 C 1.10
H: 0.6976 0.3198 0.3362  1 C 1.10
H: 0.4683 0.7449 0.6009  1 C 1.10
H: 0.6811 0.6396 0.0656  1 C 1.10
H: 0.0317 0.2551 0.1009  1 C 1.10
H: 0.7052 0.1416 0.4988  1 N 1.05
H: 0.7844 0.4607 0.4660  1 C 1.10
H: 0.8189 0.3604 0.5656  1 C 1.10
H: 0.6246 0.3827 0.5292  1 C 1.10
H: 0.2948 0.8584 0.5012  1 N 1.05
H: 0.8024 0.6802 0.8362  1 C 1.10
H: 0.3754 0.6173 0.4708  1 C 1.10
H: 0.8754 0.6173 0.0292  1 C 1.10
H: 0.4760 0.1852 0.0051  1 C 1.10
H: 0.3189 0.3604 0.9344  1 C 1.10
H: 0.7156 0.5393 0.9660  1 C 1.10
C: 0.0921 0.8063 0.5650  3 H 1.10
C: 0.6495 0.2315 0.3794  3 H 1.10
C: 0.8505 0.7685 0.8794  3 H 1.10
C: 0.7438 0.3681 0.5083  3 H 1.10
C: 0.2562 0.6319 0.4917  3 H 1.10
C: 0.2438 0.3681 0.9917  3 H 1.10
C: 0.1495 0.2315 0.1206  3 H 1.10
C: 0.9079 0.1937 0.4350  3 H 1.10
C: 0.5921 0.8063 0.9350  3 H 1.10
C: 0.4079 0.1937 0.0650  3 H 1.10
C: 0.7562 0.6319 0.0083  3 H 1.10
C: 0.3505 0.7685 0.6206  3 H 1.10
Hg: 0.7942 0.2472 0.7809  4 I 2.72-2.91
Hg: 0.7058 0.7528 0.2809  4 I 2.72-2.91
Hg: 0.2058 0.7528 0.2191  4 I 2.72-2.91
Hg: 0.2942 0.2472 0.7191  4 I 2.72-2.91
N: 0.7479 0.2276 0.4581  1 H 1.05
N: 0.2521 0.7724 0.5419  1 H 1.05
N: 0.2479 0.2276 0.0419  1 H 1.05
N: 0.7521 0.7724 0.9581  1 H 1.05

Summary:
Space-group type = P2_1/c
Energy = -323.079 eV/cell
Calculated volume = 16.7 A^3/atom

***

No. 5
A geometry-optimized TiH24C6I3N12O6 structure. Source: the Alexandria database, functional PBEsol.

Cell: 11.0698 11.0698 11.0698 Å, 102.53 102.53 102.53°
Closest atoms and distances in Å follow each position.
Element x y z (fractional)
Ti: 0.2500 0.2500 0.2500  6 O 2.03
Ti: 0.7500 0.7500 0.7500  6 O 2.03
H: 0.6358 0.5253 0.1568  1 N 1.03
H: 0.1568 0.6358 0.5253  1 N 1.03
H: 0.5253 0.1568 0.6358  1 N 1.03
H: 0.1358 0.6568 0.0253  1 N 1.03
H: 0.0253 0.1358 0.6568  1 N 1.03
H: 0.6568 0.0253 0.1358  1 N 1.03
H: 0.3642 0.4747 0.8432  1 N 1.03
H: 0.8432 0.3642 0.4747  1 N 1.03
H: 0.4747 0.8432 0.3642  1 N 1.03
H: 0.8642 0.3432 0.9747  1 N 1.03
H: 0.9747 0.8642 0.3432  1 N 1.03
H: 0.3432 0.9747 0.8642  1 N 1.03
H: 0.4834 0.5575 0.1263  1 N 1.03
H: 0.1263 0.4834 0.5575  1 N 1.03
H: 0.5575 0.1263 0.4834  1 N 1.03
H: 0.9834 0.6263 0.0575  1 N 1.03
H: 0.0575 0.9834 0.6263  1 N 1.03
H: 0.6263 0.0575 0.9834  1 N 1.03
H: 0.5166 0.4425 0.8737  1 N 1.03
H: 0.8737 0.5166 0.4425  1 N 1.03
H: 0.4425 0.8737 0.5166  1 N 1.03
H: 0.0166 0.3737 0.9425  1 N 1.03
H: 0.9425 0.0166 0.3737  1 N 1.03
H: 0.3737 0.9425 0.0166  1 N 1.03
H: 0.6609 0.3558 0.2492  1 N 1.02
H: 0.2492 0.6609 0.3558  1 N 1.02
H: 0.3558 0.2492 0.6609  1 N 1.02
H: 0.1609 0.7492 0.8558  1 N 1.02
H: 0.8558 0.1609 0.7492  1 N 1.02
H: 0.7492 0.8558 0.1609  1 N 1.02
H: 0.3391 0.6442 0.7508  1 N 1.02
H: 0.7508 0.3391 0.6442  1 N 1.02
H: 0.6442 0.7508 0.3391  1 N 1.02
H: 0.8391 0.2508 0.1442  1 N 1.02
H: 0.1442 0.8391 0.2508  1 N 1.02
H: 0.2508 0.1442 0.8391  1 N 1.02
H: 0.5321 0.2760 0.2993  1 N 1.03
H: 0.2993 0.5321 0.2760  1 N 1.03
H: 0.2760 0.2993 0.5321  1 N 1.03
H: 0.0321 0.7993 0.7760  1 N 1.03
H: 0.7760 0.0321 0.7993  1 N 1.03
H: 0.7993 0.7760 0.0321  1 N 1.03
H: 0.4679 0.7240 0.7007  1 N 1.03
H: 0.7007 0.4679 0.7240  1 N 1.03
H: 0.7240 0.7007 0.4679  1 N 1.03
H: 0.9679 0.2007 0.2240  1 N 1.03
H: 0.2240 0.9679 0.2007  1 N 1.03
H: 0.2007 0.2240 0.9679  1 N 1.03
C: 0.4942 0.4107 0.2086  1 O 1.29, 2 N 1.33-1.34
C: 0.2086 0.4942 0.4107  1 O 1.29, 2 N 1.33-1.34
C: 0.4107 0.2086 0.4942  1 O 1.29, 2 N 1.33-1.34
C: 0.9942 0.7086 0.9107  1 O 1.29, 2 N 1.33-1.34
C: 0.9107 0.9942 0.7086  1 O 1.29, 2 N 1.33-1.34
C: 0.7086 0.9107 0.9942  1 O 1.29, 2 N 1.33-1.34
C: 0.5058 0.5893 0.7914  1 O 1.29, 2 N 1.33-1.34
C: 0.7914 0.5058 0.5893  1 O 1.29, 2 N 1.33-1.34
C: 0.5893 0.7914 0.5058  1 O 1.29, 2 N 1.33-1.34
C: 0.0058 0.2914 0.0893  1 O 1.29, 2 N 1.33-1.34
C: 0.0893 0.0058 0.2914  1 O 1.29, 2 N 1.33-1.34
C: 0.2914 0.0893 0.0058  1 O 1.29, 2 N 1.33-1.34
I: 0.6157 0.2500 0.8843  4 H 2.60-2.61
I: 0.8843 0.6157 0.2500  4 H 2.60-2.61
I: 0.2500 0.8843 0.6157  4 H 2.60-2.61
I: 0.1157 0.3843 0.7500  4 H 2.60-2.61
I: 0.7500 0.1157 0.3843  4 H 2.60-2.61
I: 0.3843 0.7500 0.1157  4 H 2.60-2.61
N: 0.5398 0.5002 0.1541  2 H 1.03
N: 0.1541 0.5398 0.5002  2 H 1.03
N: 0.5002 0.1541 0.5398  2 H 1.03
N: 0.0398 0.6541 0.0002  2 H 1.03
N: 0.0002 0.0398 0.6541  2 H 1.03
N: 0.6541 0.0002 0.0398  2 H 1.03
N: 0.4602 0.4998 0.8459  2 H 1.03
N: 0.8459 0.4602 0.4998  2 H 1.03
N: 0.4998 0.8459 0.4602  2 H 1.03
N: 0.9602 0.3459 0.9998  2 H 1.03
N: 0.9998 0.9602 0.3459  2 H 1.03
N: 0.3459 0.9998 0.9602  2 H 1.03
N: 0.5676 0.3395 0.2520  2 H 1.02-1.03
N: 0.2520 0.5676 0.3395  2 H 1.02-1.03
N: 0.3395 0.2520 0.5676  2 H 1.02-1.03
N: 0.0676 0.7520 0.8395  2 H 1.02-1.03
N: 0.8395 0.0676 0.7520  2 H 1.02-1.03
N: 0.7520 0.8395 0.0676  2 H 1.02-1.03
N: 0.4324 0.6605 0.7480  2 H 1.02-1.03
N: 0.7480 0.4324 0.6605  2 H 1.02-1.03
N: 0.6605 0.7480 0.4324  2 H 1.02-1.03
N: 0.9324 0.2480 0.1605  2 H 1.02-1.03
N: 0.1605 0.9324 0.2480  2 H 1.02-1.03
N: 0.2480 0.1605 0.9324  2 H 1.02-1.03
O: 0.3779 0.3925 0.2178  1 C 1.29
O: 0.2178 0.3779 0.3925  1 C 1.29
O: 0.3925 0.2178 0.3779  1 C 1.29
O: 0.8779 0.7178 0.8925  1 C 1.29
O: 0.8925 0.8779 0.7178  1 C 1.29
O: 0.7178 0.8925 0.8779  1 C 1.29
O: 0.6221 0.6075 0.7822  1 C 1.29
O: 0.7822 0.6221 0.6075  1 C 1.29
O: 0.6075 0.7822 0.6221  1 C 1.29
O: 0.1221 0.2822 0.1075  1 C 1.29
O: 0.1075 0.1221 0.2822  1 C 1.29
O: 0.2822 0.1075 0.1221  1 C 1.29

Summary:
Space-group type = R-3c
Energy = -635.666 eV/cell
Calculated volume = 11.9 A^3/atom

***

No. 6
A geometry-optimized In2Sb2H16C4Se7N2 structure. Source: the Alexandria database, functional PBEsol.

Cell: 7.1724 10.6564 14.6691 Å, 84.52 75.85 70.33°
Closest atoms and distances in Å follow each position.
Element x y z (fractional)
C: 0.8973 0.3986 0.2066  3 H 1.10
C: 0.5024 0.1014 0.2934  3 H 1.10
C: 0.1027 0.6014 0.7934  3 H 1.10
C: 0.4976 0.8986 0.7066  3 H 1.10
C: 0.5917 0.4063 0.1546  3 H 1.10
C: 0.1527 0.0937 0.3454  3 H 1.10
C: 0.4083 0.5937 0.8454  3 H 1.10
C: 0.8473 0.9063 0.6546  3 H 1.10
H: 0.8395 0.4491 0.0730  1 N 1.05
H: 0.3616 0.0509 0.4270  1 N 1.05
H: 0.1605 0.5509 0.9270  1 N 1.05
H: 0.6384 0.9491 0.5730  1 N 1.05
H: 0.6950 0.5646 0.1576  1 N 1.05
H: 0.4171 0.9354 0.3424  1 N 1.05
H: 0.3050 0.4354 0.8424  1 N 1.05
H: 0.5829 0.0646 0.6576  1 N 1.05
H: 0.0092 0.4509 0.1981  1 C 1.10
H: 0.6582 0.0491 0.3019  1 C 1.10
H: 0.9908 0.5491 0.8019  1 C 1.10
H: 0.3418 0.9509 0.6981  1 C 1.10
H: 0.9739 0.2931 0.1871  1 C 1.10
H: 0.4542 0.2069 0.3129  1 C 1.10
H: 0.0261 0.7069 0.8129  1 C 1.10
H: 0.5458 0.7931 0.6871  1 C 1.10
H: 0.8073 0.4057 0.2797  1 C 1.10
H: 0.4927 0.0943 0.2203  1 C 1.10
H: 0.1927 0.5943 0.7203  1 C 1.10
H: 0.5073 0.9057 0.7797  1 C 1.10
H: 0.4965 0.4567 0.1048  1 C 1.10
H: 0.0580 0.0433 0.3952  1 C 1.10
H: 0.5035 0.5433 0.8952  1 C 1.10
H: 0.9420 0.9567 0.6048  1 C 1.10
H: 0.5000 0.4222 0.2274  1 C 1.10
H: 0.1495 0.0778 0.2726  1 C 1.10
H: 0.5000 0.5778 0.7726  1 C 1.10
H: 0.8505 0.9222 0.7274  1 C 1.10
H: 0.6582 0.2993 0.1387  1 C 1.10
H: 0.0962 0.2007 0.3613  1 C 1.10
H: 0.3418 0.7007 0.8613  1 C 1.10
H: 0.9038 0.7993 0.6387  1 C 1.10
N: 0.7586 0.4621 0.1434  2 H 1.05
N: 0.3641 0.0379 0.3566  2 H 1.05
N: 0.2414 0.5379 0.8566  2 H 1.05
N: 0.6359 0.9621 0.6434  2 H 1.05
In: 0.7289 0.1961 0.8912  4 Se 2.59-2.62
In: 0.8162 0.3039 0.6088  4 Se 2.59-2.62
In: 0.2711 0.8039 0.1088  4 Se 2.59-2.62
In: 0.1838 0.6961 0.3912  4 Se 2.59-2.62
Sb: 0.7663 0.8987 0.0499  3 Se 2.60-2.65
Sb: 0.7149 0.6013 0.4501  3 Se 2.60-2.65
Sb: 0.2337 0.1013 0.9501  3 Se 2.60-2.65
Sb: 0.2851 0.3987 0.5499  3 Se 2.60-2.65
Se: 0.5553 0.2500 0.7500  2 H 2.43, 2 In 2.59
Se: 0.4447 0.7500 0.2500  2 H 2.43, 2 In 2.59
Se: 0.9688 0.9485 0.8854  1 Sb 2.60, 1 In 2.62, 2 H 2.72-2.74
Se: 0.8027 0.5515 0.6146  1 Sb 2.60, 1 In 2.62, 2 H 2.72-2.74
Se: 0.0312 0.0515 0.1146  1 Sb 2.60, 1 In 2.62, 2 H 2.72-2.74
Se: 0.1973 0.4485 0.3854  1 Sb 2.60, 1 In 2.62, 2 H 2.72-2.74
Se: 0.0492 0.6717 0.0768  1 H 2.47, 1 In 2.60, 1 Sb 2.65
Se: 0.7977 0.8283 0.4232  1 H 2.47, 1 In 2.60, 1 Sb 2.65
Se: 0.9508 0.3283 0.9232  1 H 2.47, 1 In 2.60, 1 Sb 2.65
Se: 0.2023 0.1717 0.5768  1 H 2.47, 1 In 2.60, 1 Sb 2.65
Se: 0.5766 0.7854 0.9675  1 In 2.59, 1 Sb 2.64
Se: 0.3295 0.7146 0.5325  1 In 2.59, 1 Sb 2.64
Se: 0.4234 0.2146 0.0325  1 In 2.59, 1 Sb 2.64
Se: 0.6705 0.2854 0.4675  1 In 2.59, 1 Sb 2.64

Summary:
Space-group type = C2/c
Energy = -318.800 eV/cell
Calculated volume = 15.5 A^3/atom

***

So what do the calculations give for D(E_F)? Going down the list: 3.12; 0.07; 2.18; 0.00; 6.98; 0.00 states/eV/f.u..